(1)
Entry from the Open Quantum Materials Database: an optimized crystal structure of UAlNi (GGA-PBE).

The structure in extended XYZ format:
```
9
Lattice="-2.727 -5.846 1.045 2.155 1.580 -5.963 3.722 -1.570 0.929" Properties=species:S:1:pos:R:3 pbc="T T T"
Al -0.644 -1.380 0.247
Al 0.509 0.373 -1.408
Al -0.437 -3.258 -3.757
Ni -1.100 -3.370 -1.291
Ni 0.528 -0.895 -3.627
Ni 1.861 -0.785 0.464
U 0.300 -4.130 1.063
U 1.616 -2.610 -1.640
U 3.094 0.119 -2.947
```

Calculated values
Total DFT energy (no corrections)   -7.08 eV/atom
Mass density   10.52 g/cm³
Crystal system   hexagonal
Symmetry   P-62m, No. 189

---

(2)
Entry from the Open Quantum Materials Database: an optimized crystal structure of Y2Ag2B (GGA-PBE).

The structure in extended XYZ format:
```
5
Lattice="0.513 -0.321 5.299 -4.258 3.199 -0.281 -0.575 -4.692 -2.469" Properties=species:S:1:pos:R:3 pbc="T T T"
Ag -1.167 0.897 1.564
Ag -2.577 1.981 3.454
B 0.000 0.000 0.000
Y -0.967 -1.787 2.669
Y -3.352 -0.027 -0.121
```

Calculated values
Total DFT energy (no corrections)   -4.63 eV/atom
Mass density   5.88 g/cm³
Crystal system   tetragonal
Symmetry   I4/mmm, No. 139

---

(3)
Entry from the Open Quantum Materials Database: an optimized crystal structure of LuCoAsAu (GGA-PBE).

The structure in extended XYZ format:
```
4
Lattice="0.000 3.299 3.299 3.299 0.000 3.299 3.299 3.299 0.000" Properties=species:S:1:pos:R:3 pbc="T T T"
As 3.299 3.299 3.299
Au 4.949 4.949 4.949
Co 0.000 0.000 0.000
Lu 1.650 1.650 1.650
```

Calculated values
Total DFT energy (no corrections)   -5.00 eV/atom
Mass density   11.69 g/cm³
Crystal system   cubic
Symmetry   F-43m, No. 216